Record 1
LiTbSc4O8, relaxed, DFT GGA-PBE; size of the total moment = 0.000 μB per cell; E_form (uncorrected) = -3.304 eV/atom; density of states at the Fermi level = 0.0 states/eV/cell
1.0
6.377 0.000 0.000
3.188 5.522 0.000
3.188 1.841 5.121
Sc O Tb Li
4 8 1 1
direct
0.498 0.001 0.500
0.001 0.001 0.500
0.001 0.498 0.500
0.621 0.621 0.137
0.744 0.744 0.278
0.744 0.234 0.278
0.241 0.793 0.725
0.239 0.239 0.283
0.793 0.241 0.725
0.241 0.241 0.725
0.757 0.757 0.729
0.234 0.744 0.278
0.381 0.381 0.856
0.006 0.006 0.983

***

Record 2
LiTb2ScO5, relaxed, DFT GGA-PBE; size of the total moment = 0.000 μB per cell; E_form (uncorrected) = -3.175 eV/atom; density of states at the Fermi level = 0.0 states/eV/cell
1.0
3.256 0.000 0.000
-1.628 6.582 0.000
0.000 0.000 9.709
Tb O Sc Li
4 10 2 2
direct
0.873 0.746 0.797
0.127 0.254 0.297
0.893 0.785 0.184
0.107 0.215 0.684
0.501 0.002 0.281
0.306 0.611 0.360
0.052 0.105 0.062
0.362 0.724 0.003
0.286 0.572 0.657
0.948 0.895 0.562
0.714 0.428 0.157
0.638 0.276 0.503
0.694 0.389 0.860
0.499 0.998 0.781
0.801 0.603 0.503
0.199 0.397 0.003
0.481 0.962 0.478
0.519 0.038 0.978

***

Record 3
LiSc2TcO6, relaxed, DFT GGA-PBE; size of the total moment = 2.000 μB per cell; E_form (uncorrected) = -2.507 eV/atom; density of states at the Fermi level = 5.4 states/eV/cell
1.0
-0.404 0.081 -5.257
-3.115 -3.473 -2.459
-4.860 1.941 -2.241
O Li Tc Sc
6 1 1 2
direct
0.127 0.406 0.759
0.942 0.587 0.233
0.587 0.239 0.233
0.709 0.127 0.759
0.238 0.942 0.233
0.406 0.709 0.759
0.792 0.792 0.623
0.322 0.322 0.033
0.017 0.017 0.949
0.521 0.521 0.436